P | ZrAlPb2C PBE-GGA relaxed; symmetry = P4/mmm, No. 123
1.0
5.050 0.000 0.000
0.000 5.050 0.000
0.000 0.000 4.474
Zr Al Pb C
1 1 2 1
direct
0.000 0.000 0.000
0.500 0.500 0.000
0.000 0.500 0.500
0.500 0.000 0.500
0.000 0.000 0.500



Q | ZrAlPb2C PBE-GGA relaxed; symmetry = P4/mmm, No. 123
1.0
5.710 0.000 0.000
0.000 5.710 0.000
0.000 0.000 3.585
Zr Al Pb C
1 1 2 1
direct
0.000 0.000 0.000
0.500 0.500 0.500
0.000 0.500 0.500
0.500 0.000 0.500
0.500 0.500 0.000



Stability, lowest: Q



P | Al3PdC PBE-GGA relaxed; symmetry = Pm-3m, No. 221
1.0
4.031 0.000 0.000
0.000 4.031 0.000
0.000 0.000 4.031
Al Pd C
3 1 1
direct
0.000 0.000 0.500
0.000 0.500 0.000
0.500 0.000 0.000
0.500 0.500 0.500
0.000 0.000 0.000



Q | Al3PdC PBE-GGA relaxed; symmetry = Pm-3m, No. 221
1.0
4.694 0.000 0.000
0.000 4.694 0.000
0.000 0.000 4.694
Al Pd C
3 1 1
direct
0.000 0.000 0.500
0.000 0.500 0.000
0.500 0.000 0.000
0.000 0.000 0.000
0.500 0.500 0.500



Stability, lowest: Q



P | AlPt3C PBE-GGA relaxed; symmetry = Pm-3m, No. 221
1.0
4.548 0.000 0.000
0.000 4.548 0.000
0.000 0.000 4.548
Al Pt C
1 3 1
direct
0.000 0.000 0.000
0.000 0.000 0.500
0.000 0.500 0.000
0.500 0.000 0.000
0.500 0.500 0.500



Q | AlPt3C PBE-GGA relaxed; symmetry = Pm-3m, No. 221
1.0
4.185 0.000 0.000
0.000 4.185 0.000
0.000 0.000 4.185
Al Pt C
1 3 1
direct
0.000 0.000 0.000
0.000 0.500 0.500
0.500 0.000 0.500
0.500 0.500 0.000
0.500 0.500 0.500



Stability, lowest: P



P | Al3PtC PBE-GGA relaxed; symmetry = Pm-3m, No. 221
1.0
4.020 0.000 0.000
0.000 4.020 0.000
0.000 0.000 4.020
Al Pt C
3 1 1
direct
0.000 0.000 0.500
0.000 0.500 0.000
0.500 0.000 0.000
0.500 0.500 0.500
0.000 0.000 0.000



Q | Al3PtC PBE-GGA relaxed; symmetry = Pm-3m, No. 221
1.0
4.740 0.000 0.000
0.000 4.740 0.000
0.000 0.000 4.740
Al Pt C
3 1 1
direct
0.000 0.000 0.500
0.000 0.500 0.000
0.500 0.000 0.000
0.000 0.000 0.000
0.500 0.500 0.500



Stability, lowest: Q